Record 1
Here is crystalline Cs3LiIrO4 at its relaxed geometry from OQMD. Energies are from PBE.

The space group is C2/c (No. 15) and the conventional cell measures 11.1497, 10.5194 and 6.3264 Å, with angles of 90.00, 105.80 and 90.00 degrees. The distinct sites, in fractional coordinates, are Cs at (0.0000, 0.0953, 0.2500), Cs at (0.1577, 0.4112, 0.4804), Li at (0.0000, 0.2302, 0.7500), Ir at (0.2500, 0.2500, 0.0000), O at (0.0924, 0.3196, 0.0170) and O at (0.1575, 0.1408, 0.7653).

The size of the total moment is 0.333 μB/atom. Its crystal system is monoclinic.

Record 2
Here is crystalline Y2Zn2Si at its relaxed geometry from OQMD. Energies are from PBE.

The space group is I4/mmm (No. 139) and the conventional cell measures 3.8638, 3.8638 and 13.9801 Å, with angles of 90.00, 90.00 and 90.00 degrees. The distinct sites, in fractional coordinates, are Y at (0.0000, 0.0000, 0.0969), Zn at (0.0000, 0.5000, 0.2500) and Si at (0.0000, 0.0000, 0.5000).

The size of the total moment is 0.003 μB/atom. Its crystal system is tetragonal.

Record 3
Here is crystalline SrGeMo at its relaxed geometry from OQMD. Energies are from PBE.

The space group is F-43m (No. 216) and the conventional cell measures 7.1444, 7.1444 and 7.1444 Å, with angles of 90.00, 90.00 and 90.00 degrees. The distinct sites, in fractional coordinates, are Sr at (0.0000, 0.0000, 0.0000), Ge at (0.2500, 0.2500, 0.7500) and Mo at (0.2500, 0.2500, 0.2500).

The size of the total moment is 1.334 μB/atom. Its crystal system is cubic.

Record 4
Here is crystalline ZrBeTlS3 at its relaxed geometry from OQMD. Energies are from PBE.

The space group is Cmcm (No. 63) and the conventional cell measures 3.5248, 15.1219 and 9.8878 Å, with angles of 90.00, 90.00 and 90.00 degrees. The distinct sites, in fractional coordinates, are Zr at (0.0000, 0.0000, 0.0000), Be at (0.0000, 0.4597, 0.2500), Tl at (0.0000, 0.2536, 0.7500), S at (0.0000, 0.0482, 0.2500) and S at (0.0000, 0.3815, 0.0732).

The size of the total moment is 0.054 μB/atom. Its crystal system is orthorhombic.

Let's list calculated total energy in order: -4.960, -4.165, -4.328, -5.522 eV/atom.